No. 1
Below is crystalline Ag3RuBr2Cl6 at its relaxed geometry, with properties calculated at the PBE level.

formation energy from raw total energies: -0.41 eV per atom
theoretical density: 4.3 g/cm³
D(E_F): 0.630 states/eV/atom

a = 5.8869 Å, b = 7.4412 Å, c = 7.9697 Å
α = 117.83°, β = 94.42°, γ = 90.00°
Last column: nearest neighbours and their distance in Å.
Positions (direct):
1 Br 0.7825 0.3227 0.6454  3 Ag 2.64-2.71
2 Br 0.2175 0.6773 0.3546  3 Ag 2.64-2.71
3 Cl 0.2698 0.1480 0.8484  1 Ru 2.35
4 Cl 0.2803 0.1310 0.2619  1 Ru 2.34
5 Cl 0.7302 0.2996 0.1516  1 Ru 2.35
6 Cl 0.7197 0.8690 0.7381  1 Ru 2.34
7 Cl 0.2698 0.7004 0.8484  1 Ru 2.35
8 Cl 0.7302 0.8520 0.1516  1 Ru 2.35
9 Ag 0.0000 0.5000 0.0000  2 Br 2.71, 4 Cl 2.86
10 Ag 0.5000 0.0000 0.5000  2 Br 2.64, 4 Cl 2.75-2.91
11 Ag 0.5000 0.5000 0.5000  2 Br 2.64, 4 Cl 2.75-2.91
12 Ru 0.5000 0.0000 0.0000  6 Cl 2.34-2.35


No. 2
Below is crystalline BeCuTc2 at its relaxed geometry, with properties calculated at the PBE level.

ΔH_f (0 K): 0.74 eV/f.u.
theoretical density: 8.8 g/cm³
D(E_F): 0.664 states/eV/atom

a = 4.7627 Å, b = 4.7627 Å, c = 4.7627 Å
α = 140.88°, β = 130.77°, γ = 64.61°
Last column: nearest neighbours and their distance in Å.
Positions (direct):
1 Be 0.7500 0.2500 0.5000  4 Tc 2.50, 4 Cu 2.55
2 Cu 0.2500 0.7500 0.5000  4 Be 2.55, 8 Tc 2.64-2.77
3 Tc 0.9893 0.9893 0.0000  2 Be 2.50, 4 Tc 2.55, 4 Cu 2.64-2.77
4 Tc 0.5107 0.5107 0.0000  2 Be 2.50, 4 Tc 2.55, 4 Cu 2.64-2.77


No. 3
Below is crystalline LuScNi2 at its relaxed geometry, with properties calculated at the PBE level.

ΔE to the lowest computed polymorph: 0.000 eV/atom
ΔH_f (0 K): -1.94 eV/f.u.
theoretical density: 8.3 g/cm³
D(E_F): 0.547 states/eV/atom

a = 3.1885 Å, b = 4.6051 Å, c = 4.6051 Å
α = 90.00°, β = 90.00°, γ = 90.00°
Last column: nearest neighbours and their distance in Å.
Positions (direct):
1 Sc 0.5000 0.0000 0.0000  8 Ni 2.80
2 Ni 0.0000 0.0000 0.5000  4 Lu 2.80, 4 Sc 2.80
3 Ni 0.0000 0.5000 0.0000  4 Sc 2.80, 4 Lu 2.80
4 Lu 0.5000 0.5000 0.5000  8 Ni 2.80


No. 4
Below is crystalline Tl2Cr at its relaxed geometry, with properties calculated at the PBE level.

ΔE to the lowest computed polymorph: 0.099 eV/atom
ΔH_f (0 K): 1.57 eV/f.u.
theoretical density: 10.8 g/cm³
D(E_F): 0.533 states/eV/atom

a = 5.1844 Å, b = 5.1844 Å, c = 9.6647 Å
α = 72.36°, β = 72.36°, γ = 35.09°
Last column: nearest neighbours and their distance in Å.
Positions (direct):
1 Tl 0.4912 0.4912 0.1715  5 Cr 2.77-3.02
2 Tl 0.1653 0.1653 0.3825  6 Tl 3.13-3.43, 2 Cr 3.36
3 Tl 0.5088 0.5088 0.8285  5 Cr 2.77-3.02
4 Tl 0.8347 0.8347 0.6175  6 Tl 3.13-3.43, 2 Cr 3.36
5 Cr 0.7864 0.7864 0.0591  2 Cr 2.19
6 Cr 0.2136 0.2136 0.9409  2 Cr 2.19


No. 5
Below is crystalline CaH3Se at its relaxed geometry, with properties calculated at the PBE level.

ΔE to the lowest computed polymorph: 0.000 eV/atom
theoretical density: 3.2 g/cm³
D(E_F): 0.338 states/eV/atom

a = 3.9934 Å, b = 3.9934 Å, c = 3.9934 Å
α = 90.00°, β = 90.00°, γ = 90.00°
Last column: nearest neighbours and their distance in Å.
Positions (direct):
1 H 0.0000 0.5000 0.0000  2 Se 2.00
2 H 0.0000 0.0000 0.5000  2 Se 2.00
3 H 0.5000 0.0000 0.0000  2 Se 2.00
4 Ca 0.5000 0.5000 0.5000  12 H 2.82
5 Se 0.0000 0.0000 0.0000  6 H 2.00


No. 6
Below is crystalline CaYHo2Te4 at its relaxed geometry, with properties calculated at the PBE level.

formation energy from raw total energies: -1.35 eV per atom
theoretical density: 6.8 g/cm³
D(E_F): 0.463 states/eV/atom

a = 4.3573 Å, b = 7.6015 Å, c = 7.5851 Å
α = 109.11°, β = 90.00°, γ = 90.00°
Last column: nearest neighbours and their distance in Å.
Positions (direct):
1 Te 0.0000 0.2495 0.7471  3 Ho 3.08-3.09, 2 Y 3.11, 1 Ca 3.11
2 Te 0.5000 0.2524 0.2542  3 Ho 3.08, 1 Y 3.10, 2 Ca 3.12
3 Te 0.5000 0.7476 0.7458  3 Ho 3.08, 1 Y 3.10, 2 Ca 3.12
4 Te 0.0000 0.7505 0.2529  3 Ho 3.08-3.09, 2 Y 3.11, 1 Ca 3.11
5 Y 0.5000 0.5000 0.0000  6 Te 3.10-3.11
6 Ca 0.0000 0.0000 0.0000  6 Te 3.11-3.12
7 Ho 0.5000 0.0000 0.5000  6 Te 3.08-3.09
8 Ho 0.0000 0.5000 0.5000  6 Te 3.08


No. 7
Below is crystalline Pm2MgSb at its relaxed geometry, with properties calculated at the PBE level.

formation energy from raw total energies: -0.42 eV per atom
ΔE to the lowest computed polymorph: 0.168 eV/atom
theoretical density: 5.5 g/cm³
D(E_F): 0.818 states/eV/atom

a = 4.5748 Å, b = 7.6004 Å, c = 10.6317 Å
α = 131.45°, β = 102.43°, γ = 89.99°
Last column: nearest neighbours and their distance in Å.
Positions (direct):
1 Mg 0.2997 0.7415 0.0862  2 Mg 3.30, 4 Pm 3.33-3.35
2 Mg 0.7742 0.3851 0.0342  4 Pm 3.13-3.47, 1 Sb 3.15, 2 Mg 3.30
3 Sb 0.5680 0.9925 0.6219  6 Pm 3.09-3.23, 1 Mg 3.15
4 Sb 0.0208 0.4167 0.5274  6 Pm 3.01-3.12
5 Pm 0.1609 0.9595 0.8074  3 Sb 3.04-3.11, 2 Mg 3.30
6 Pm 0.4194 0.4139 0.3246  3 Sb 3.10-3.23
7 Pm 0.9516 0.9185 0.3893  3 Sb 3.01-3.09, 3 Mg 3.13-3.35
8 Pm 0.6450 0.5221 0.7760  3 Sb 3.12-3.17, 3 Mg 3.33-3.47


No. 8
Below is crystalline HgAu2Cl at its relaxed geometry, with properties calculated at the PBE level.

formation energy from raw total energies: 0.04 eV per atom
ΔE to the lowest computed polymorph: 0.076 eV/atom
theoretical density: 11.8 g/cm³
D(E_F): 0.385 states/eV/atom

a = 8.1673 Å, b = 8.1673 Å, c = 8.1673 Å
α = 25.44°, β = 25.44°, γ = 25.44°
Last column: nearest neighbours and their distance in Å.
Positions (direct):
1 Au 0.9952 0.9952 0.9952  3 Au 2.77, 3 Hg 2.87
2 Au 0.2514 0.2514 0.2514  3 Cl 2.76, 3 Au 2.77
3 Cl 0.5080 0.5080 0.5080  3 Au 2.76, 3 Hg 3.08
4 Hg 0.7455 0.7455 0.7455  3 Au 2.87, 3 Cl 3.08